[1]
ZrTa2Zn: optimized geometry, PBE-GGA.

Cell lengths 9.714, 3.006, 5.200 Å; angles 90.00, 100.42, 90.00 degrees
Space group Cm (No. 8)
Unique sites:
Zr1 0.000 0.000 0.000 [2 per cell]
Ta1 0.232 0.000 0.710 [2 per cell]
Ta2 0.479 0.000 0.480 [2 per cell]
Zn1 0.246 0.500 0.229 [2 per cell]

Properties
Energy of formation, kcal/mol of atoms: 3.09
N(E_F), states/eV per cell: 8.3

***

[2]
ZrTaZn2: optimized geometry, PBE-GGA.

Cell lengths 5.081, 2.939, 5.121 Å; angles 90.00, 109.18, 90.00 degrees
Space group P2/m (No. 10)
Unique sites:
Zr1 0.000 0.000 0.000 [1 per cell]
Ta1 0.500 0.500 0.000 [1 per cell]
Zn1 0.000 0.500 0.500 [1 per cell]
Zn2 0.500 0.000 0.500 [1 per cell]

Properties
Energy of formation, kcal/mol of atoms: 2.25
N(E_F), states/eV per cell: 2.8

***

[3]
ZrTa2Zn: optimized geometry, PBE-GGA.

Cell lengths 4.180, 4.180, 8.460 Å; angles 90.00, 90.00, 90.00 degrees
Space group I-4m2 (No. 119)
Unique sites:
Zr1 0.000 0.000 0.000 [2 per cell]
Ta1 0.000 0.000 0.500 [2 per cell]
Ta2 0.000 0.500 0.750 [2 per cell]
Zn1 0.000 0.500 0.250 [2 per cell]

Properties
Energy of formation, kcal/mol of atoms: 2.25
N(E_F), states/eV per cell: 8.5

***

[4]
Zr2TaZn: optimized geometry, PBE-GGA.

Cell lengths 3.120, 3.754, 6.729 Å; angles 90.00, 90.00, 90.00 degrees
Space group Pmmm (No. 47)
Unique sites:
Zr1 0.000 0.000 0.244 [2 per cell]
Ta1 0.500 0.500 0.500 [1 per cell]
Zn1 0.500 0.500 0.000 [1 per cell]

Properties
Energy of formation, kcal/mol of atoms: -1.86
N(E_F), states/eV per cell: 3.7

***

[5]
ZrTa2Zn: optimized geometry, PBE-GGA.

Cell lengths 5.790, 8.935, 2.895 Å; angles 90.00, 90.00, 90.00 degrees
Space group Cmmm (No. 65)
Unique sites:
Zr1 0.000 0.000 0.000 [2 per cell]
Ta1 0.250 0.250 0.500 [4 per cell]
Zn1 0.000 0.500 0.000 [2 per cell]

Properties
Energy of formation, kcal/mol of atoms: 4.76
N(E_F), states/eV per cell: 10.0

***

[6]
Zr2TaZn: optimized geometry, PBE-GGA.

Cell lengths 4.179, 4.266, 8.855 Å; angles 90.00, 90.00, 90.00 degrees
Space group Cmmm (No. 65)
Unique sites:
Zr1 0.000 0.000 0.238 [4 per cell]
Ta1 0.000 0.500 0.500 [2 per cell]
Zn1 0.000 0.500 0.000 [2 per cell]

Properties
Energy of formation, kcal/mol of atoms: -0.45
N(E_F), states/eV per cell: 10.1

***

[7]
ZrTa2Zn: optimized geometry, PBE-GGA.

Cell lengths 3.781, 4.307, 9.126 Å; angles 90.00, 90.00, 90.00 degrees
Space group Immm (No. 71)
Unique sites:
Zr1 0.000 0.000 0.000 [2 per cell]
Ta1 0.000 0.500 0.242 [4 per cell]
Zn1 0.000 0.000 0.500 [2 per cell]

Properties
Energy of formation, kcal/mol of atoms: 1.58
N(E_F), states/eV per cell: 7.5

***

[8]
ZrTaZn2: optimized geometry, PBE-GGA.

Cell lengths 3.053, 4.845, 9.446 Å; angles 90.00, 90.00, 90.00 degrees
Space group Imm2 (No. 44)
Unique sites:
Zr1 0.000 0.000 0.000 [2 per cell]
Ta1 0.000 0.500 0.765 [2 per cell]
Zn1 0.000 0.000 0.520 [2 per cell]
Zn2 0.000 0.500 0.236 [2 per cell]

Properties
Energy of formation, kcal/mol of atoms: -0.95
N(E_F), states/eV per cell: 4.6

***

[9]
ZrTaZn: optimized geometry, PBE-GGA.

Cell lengths 3.419, 3.419, 9.547 Å; angles 90.00, 90.00, 90.00 degrees
Space group I4mm (No. 107)
Unique sites:
Zr1 0.000 0.000 0.000 [2 per cell]
Ta1 0.000 0.000 0.317 [2 per cell]
Zn1 0.000 0.000 0.673 [2 per cell]

Properties
Energy of formation, kcal/mol of atoms: 0.97
N(E_F), states/eV per cell: 4.5

***

[10]
Zr2TaZn6: optimized geometry, PBE-GGA.

Cell lengths 7.4858, 7.4858, 3.0976 Å; angles 90.00, 90.00, 120.00 degrees
Space group P6/mmm (No. 191)
Unique sites:
Zr1 0.3333 0.6667 0.0000 [2 per cell]
Ta1 0.0000 0.0000 0.0000 [1 per cell]
Zn1 0.0000 0.3295 0.5000 [6 per cell]

Properties
Energy of formation, kcal/mol of atoms: -3.64
N(E_F), states/eV per cell: 6.6

***

[11]
ZrTa4Zn: optimized geometry, PBE-GGA.

Cell lengths 7.804, 7.804, 7.804 Å; angles 90.00, 90.00, 90.00 degrees
Space group F-43m (No. 216)
Unique sites:
Zr1 0.000 0.000 0.000 [4 per cell]
Ta1 0.127 0.127 0.627 [16 per cell]
Zn1 0.250 0.250 0.250 [4 per cell]

Properties
Energy of formation, kcal/mol of atoms: 7.15
N(E_F), states/eV per cell: 25.5

***

[12]
ZrTaZn: optimized geometry, PBE-GGA.

Cell lengths 4.6245, 4.6245, 18.4964 Å; angles 90.00, 90.00, 120.00 degrees
Space group R-3m (No. 166, hexagonal axes)
Unique sites:
Zr1 0.0000 0.0000 0.1131 [6 per cell]
Ta1 0.0000 0.0000 0.2983 [6 per cell]
Zn1 0.0000 0.0000 0.4365 [6 per cell]

Properties
Energy of formation, kcal/mol of atoms: 3.47
N(E_F), states/eV per cell: 12.9